Record 1
A PBEsol-optimized structure of TePbAu2. Source: Alexandria via LeMat-Bulk, functional SCAN.

Geometry as POSCAR:
```
TePbAu2
1.0
-2.9174 1.6925 -0.2874
-0.4928 -1.3684 -3.0566
-3.8902 -6.1327 3.3727
Au Pb Te
2 1 1
direct
0.0000 0.0000 0.0312 Au
0.5000 0.5000 0.2207 Au
0.0000 0.0000 0.4486 Pb
0.5000 0.5000 0.7995 Te
```

Properties
excess energy over the best structure of this formula in the dataset: 198.3 meV/atom
formation energy without anion corrections: 0.094 eV per atom
energy: -250.97 eV/f.u.
magnetization: 0.00 μB per atom
DOS at the Fermi energy: 0.546 states/eV/atom

=====

Record 2
A PBEsol-optimized structure of CoTePb. Source: Alexandria via LeMat-Bulk, functional SCAN.

Geometry as POSCAR:
```
CoTePb
1.0
-0.5959 1.4267 -4.2396
-4.1526 0.9190 -1.5088
-1.2186 4.2722 -0.7928
Co Pb Te
1 1 1
direct
0.2500 0.2500 0.2500 Co
0.0000 0.0000 0.0000 Pb
0.5000 0.5000 0.5000 Te
```

Properties
formation energy without anion corrections: 0.246 eV per atom
energy: -129.60 eV/f.u.
magnetization: 0.35 μB per atom
DOS at the Fermi energy: 0.441 states/eV/atom

=====

Record 3
A PBEsol-optimized structure of CdB2F8. Source: Alexandria via LeMat-Bulk, functional SCAN.

Geometry as POSCAR:
```
CdB2F8
1.0
8.6944 0.0000 0.0000
0.0000 9.1147 0.0000
0.0000 0.0000 13.2010
Cd B F
8 16 64
direct
0.2183 0.4679 0.6028 Cd
0.7817 0.0321 0.1028 Cd
0.2817 0.9679 0.3972 Cd
0.7183 0.5321 0.8972 Cd
0.7817 0.5321 0.3972 Cd
0.7183 0.0321 0.6028 Cd
0.2817 0.4679 0.1028 Cd
0.2183 0.9679 0.8972 Cd
0.0044 0.2769 0.9406 B
0.8133 0.3935 0.6573 B
0.1867 0.6065 0.3427 B
0.8133 0.8935 0.8427 B
0.9956 0.7231 0.0594 B
0.3133 0.1065 0.6573 B
0.5044 0.7231 0.5594 B
0.3133 0.6065 0.8427 B
0.4956 0.2769 0.4406 B
0.6867 0.8935 0.3427 B
0.6867 0.3935 0.1573 B
0.1867 0.1065 0.1573 B
0.9956 0.2231 0.4406 B
0.5044 0.2231 0.9406 B
0.0044 0.7769 0.5594 B
0.4956 0.7769 0.0594 B
0.0264 0.5858 0.3363 F
0.7383 0.4907 0.7240 F
0.5733 0.3781 0.3781 F
0.0743 0.3515 0.0214 F
0.2613 0.5803 0.9423 F
0.5264 0.4142 0.1637 F
0.2383 0.0093 0.7240 F
0.9267 0.3781 0.8781 F
0.6137 0.2988 0.8815 F
0.7387 0.9197 0.4423 F
0.2617 0.5093 0.2760 F
0.2617 0.0093 0.2240 F
0.8863 0.7988 0.1185 F
0.4257 0.3515 0.5214 F
0.7250 0.7481 0.3154 F
0.9257 0.1485 0.5214 F
0.6011 0.1729 0.4794 F
0.5743 0.1485 0.0214 F
0.0264 0.0858 0.1637 F
0.2750 0.7519 0.8154 F
0.0743 0.8515 0.4786 F
0.1011 0.8271 0.0206 F
0.7250 0.2481 0.1846 F
0.5264 0.9142 0.3363 F
0.1137 0.7012 0.6185 F
0.7750 0.7481 0.8154 F
0.7613 0.4197 0.5577 F
0.5733 0.8781 0.1219 F
0.4736 0.5858 0.8363 F
0.2613 0.0803 0.5577 F
0.2250 0.7519 0.3154 F
0.8863 0.2988 0.3815 F
0.3863 0.2012 0.3815 F
0.9736 0.9142 0.8363 F
0.2387 0.5803 0.4423 F
0.9267 0.8781 0.6219 F
0.1011 0.3271 0.4794 F
0.7613 0.9197 0.9423 F
0.7617 0.9907 0.2760 F
0.4267 0.1219 0.8781 F
0.9257 0.6485 0.9786 F
0.4267 0.6219 0.6219 F
0.7387 0.4197 0.0577 F
0.8989 0.6729 0.5206 F
0.3863 0.7012 0.1185 F
0.1137 0.2012 0.8815 F
0.6137 0.7988 0.6185 F
0.7750 0.2481 0.6846 F
0.3989 0.3271 0.9794 F
0.3989 0.8271 0.5206 F
0.0733 0.6219 0.1219 F
0.8989 0.1729 0.9794 F
0.0733 0.1219 0.3781 F
0.5743 0.6485 0.4786 F
0.2750 0.2519 0.6846 F
0.7617 0.4907 0.2240 F
0.7383 0.9907 0.7760 F
0.4257 0.8515 0.9786 F
0.6011 0.6729 0.0206 F
0.4736 0.0858 0.6637 F
0.2387 0.0803 0.0577 F
0.2250 0.2519 0.1846 F
0.9736 0.4142 0.6637 F
0.2383 0.5093 0.7760 F
```

Properties
formation energy without anion corrections: -2.865 eV per atom
energy: -105.11 eV/f.u.
magnetization: 0.00 μB per atom
DOS at the Fermi energy: 0.000 states/eV/atom

=====

Record 4
A PBEsol-optimized structure of Be2AlCu. Source: Alexandria via LeMat-Bulk, functional SCAN.

Geometry as POSCAR:
```
Be2AlCu
1.0
2.6923 0.0000 0.0000
0.0000 4.0698 0.1311
0.0000 -1.1880 3.8947
Be Al Cu
2 1 1
direct
0.0000 0.5000 0.0000 Be
0.0000 0.0000 0.5000 Be
0.5000 0.5000 0.5000 Al
0.5000 0.0000 0.0000 Cu
```

Properties
energy of formation: 0.05 eV per atom
energy: -31.44 eV/f.u.
magnetization: 0.00 μB per atom
DOS at the Fermi energy: 0.288 states/eV/atom

=====

Record 5
A PBEsol-optimized structure of YMn6Ge6. Source: Alexandria via LeMat-Bulk, functional SCAN.

Geometry as POSCAR:
```
YMn6Ge6
1.0
-0.0804 -3.8360 -3.3444
3.5841 0.1536 3.6107
-4.7727 -4.1856 4.9156
Y Mn Ge
1 6 6
direct
0.0000 0.0000 0.0000 Y
0.0000 0.5000 0.7494 Mn
0.5000 0.0000 0.2506 Mn
0.5000 0.5000 0.2506 Mn
0.0000 0.5000 0.2506 Mn
0.5000 0.0000 0.7494 Mn
0.5000 0.5000 0.7494 Mn
0.6667 0.3333 0.0000 Ge
0.0000 0.0000 0.3446 Ge
0.0000 0.0000 0.6554 Ge
0.6667 0.3333 0.5000 Ge
0.3333 0.6667 0.5000 Ge
0.3333 0.6667 0.0000 Ge
```

Properties
energy of formation: -0.44 eV per atom
energy: -257.62 eV/f.u.
magnetization: 0.95 μB per atom
DOS at the Fermi energy: 0.299 states/eV/atom

=====

Record 6
A PBEsol-optimized structure of TaAl2Os. Source: Alexandria via LeMat-Bulk, functional SCAN.

Geometry as POSCAR:
```
TaAl2Os
1.0
-2.2300 1.1172 1.6304
-3.0599 -2.2039 -2.6750
2.1562 -3.4727 2.6057
Os Al Ta
1 2 1
direct
0.0000 0.5000 0.0000 Os
0.2624 0.2638 0.5248 Al
0.7376 0.7362 0.4752 Al
0.5000 0.0000 0.0000 Ta
```

Properties
excess energy over the best structure of this formula in the dataset: 177.1 meV/atom
energy of formation: -0.32 eV per atom
energy: -155.24 eV/f.u.
magnetization: 0.00 μB per atom
DOS at the Fermi energy: 0.508 states/eV/atom

=====

Record 7
A PBEsol-optimized structure of Dy5Sn11. Source: Alexandria via LeMat-Bulk, functional SCAN.

Geometry as POSCAR:
```
Dy5Sn11
1.0
-0.9583 4.0654 -1.0827
-0.8622 -1.2913 -4.0856
-19.1854 -4.7147 7.8769
Dy Sn
5 11
direct
0.8076 0.3076 0.6151 Dy
0.6174 0.6174 0.2347 Dy
0.0000 0.0000 0.0000 Dy
0.1924 0.6924 0.3849 Dy
0.3826 0.3826 0.7653 Dy
0.4396 0.9396 0.8792 Sn
0.1316 0.1316 0.2632 Sn
0.2495 0.2495 0.4989 Sn
0.5604 0.0604 0.1208 Sn
0.3200 0.8200 0.6399 Sn
0.7505 0.7505 0.5011 Sn
0.0603 0.5603 0.1205 Sn
0.9397 0.4397 0.8795 Sn
0.8684 0.8684 0.7368 Sn
0.5000 0.5000 0.0000 Sn
0.6800 0.1800 0.3601 Sn
```

Properties
energy of formation: -0.63 eV per atom
energy: -644.17 eV/f.u.
magnetization: 0.00 μB per atom
DOS at the Fermi energy: 0.381 states/eV/atom

=====

Record 8
A PBEsol-optimized structure of Mo3PbSe. Source: Alexandria via LeMat-Bulk, functional SCAN.

Geometry as POSCAR:
```
Mo3PbSe
1.0
4.9699 0.0000 0.0000
0.0000 4.9699 0.0000
0.0000 0.0000 4.9699
Pb Mo Se
1 3 1
direct
0.0000 0.0000 0.0000 Pb
0.0000 0.5000 0.0000 Mo
0.0000 0.0000 0.5000 Mo
0.5000 0.0000 0.0000 Mo
0.5000 0.5000 0.5000 Se
```

Properties
formation energy without anion corrections: 2.773 eV per atom
energy: -186.65 eV/f.u.
magnetization: 0.00 μB per atom
DOS at the Fermi energy: 1.677 states/eV/atom

=====

Record 9
A PBEsol-optimized structure of Ca2CdTe2. Source: Alexandria via LeMat-Bulk, functional SCAN.

Geometry as POSCAR:
```
Ca2CdTe2
1.0
4.0086 0.0000 0.0000
0.0000 8.5282 0.0000
0.0000 0.0000 8.5282
Ca Te Cd
4 4 2
direct
0.0000 0.3543 0.8543 Ca
0.0000 0.8543 0.6457 Ca
0.0000 0.6457 0.1457 Ca
0.0000 0.1457 0.3543 Ca
0.5000 0.1568 0.6568 Te
0.5000 0.6568 0.8432 Te
0.5000 0.8432 0.3432 Te
0.5000 0.3432 0.1568 Te
0.0000 0.0000 0.0000 Cd
0.0000 0.5000 0.5000 Cd
```

Properties
formation energy without anion corrections: -1.159 eV per atom
energy: -130.04 eV/f.u.
magnetization: 0.00 μB per atom

=====

Record 10
A PBEsol-optimized structure of BePt3. Source: Alexandria via LeMat-Bulk, functional SCAN.

Geometry as POSCAR:
```
BePt3
1.0
-1.3328 -0.8535 2.2427
-2.7993 -2.3034 -2.5401
2.7512 -3.6251 0.2554
Be Pt
1 3
direct
0.0000 0.0000 0.9906 Be
0.0000 0.5000 0.3523 Pt
0.5000 0.0000 0.4692 Pt
0.5000 0.5000 0.8544 Pt
```

Properties
energy of formation: -0.24 eV per atom
energy: -215.89 eV/f.u.
magnetization: 0.00 μB per atom
DOS at the Fermi energy: 0.714 states/eV/atom

=====

Record 11
A PBEsol-optimized structure of Be3RePb. Source: Alexandria via LeMat-Bulk, functional SCAN.

Geometry as POSCAR:
```
Be3RePb
1.0
-2.9539 2.5103 -1.9718
-2.6492 -0.4292 3.4223
1.7808 3.5255 1.8207
Pb Re Be
1 1 3
direct
0.5000 0.5000 0.5000 Pb
0.0000 0.0000 0.0000 Re
0.0000 0.5000 0.0000 Be
0.0000 0.0000 0.5000 Be
0.5000 0.0000 0.0000 Be
```

Properties
energy of formation: 0.88 eV per atom
energy: -155.53 eV/f.u.
magnetization: 0.00 μB per atom
DOS at the Fermi energy: 0.553 states/eV/atom

=====

Record 12
A PBEsol-optimized structure of Sr3LaTa2Co2O12. Source: Alexandria via LeMat-Bulk, functional SCAN.

Geometry as POSCAR:
```
Sr3LaTa2Co2O12
1.0
-0.1222 -5.2290 -1.9555
4.0782 1.2489 -3.5946
10.6118 -4.2042 10.5788
Sr La Ta Co O
6 2 4 4 24
direct
0.5000 0.5000 0.6260 Sr
0.5000 0.5000 0.1260 Sr
0.0000 0.0000 0.1266 Sr
0.0000 0.0000 0.8756 Sr
0.0000 0.0000 0.6251 Sr
0.5000 0.5000 0.3754 Sr
0.0000 0.0000 0.3763 La
0.5000 0.5000 0.8771 La
0.5000 0.0000 0.0068 Ta
0.5000 0.0000 0.7503 Ta
0.5000 0.0000 0.4949 Ta
0.0000 0.5000 0.2497 Ta
0.5000 0.0000 0.2507 Co
0.0000 0.5000 0.9933 Co
0.0000 0.5000 0.7494 Co
0.0000 0.5000 0.5082 Co
0.7437 0.7486 0.7523 O
0.0000 0.5000 0.6300 O
0.7519 0.2433 0.4962 O
0.2481 0.2433 0.4962 O
0.5000 0.0000 0.3694 O
0.2482 0.2436 0.2529 O
0.2482 0.7564 0.2529 O
0.7518 0.2436 0.2529 O
0.5000 0.0000 0.1307 O
0.7518 0.7564 0.2529 O
0.7427 0.7486 0.9959 O
0.0000 0.5000 0.1244 O
0.7427 0.2514 0.9959 O
0.2573 0.7486 0.9959 O
0.2573 0.2514 0.9959 O
0.0000 0.5000 0.8692 O
0.5000 0.0000 0.8765 O
0.2563 0.2514 0.7523 O
0.2563 0.7486 0.7523 O
0.7437 0.2514 0.7523 O
0.5000 0.0000 0.6231 O
0.7519 0.7567 0.4962 O
0.2481 0.7567 0.4962 O
0.0000 0.5000 0.3760 O
```

Properties
formation energy without anion corrections: -2.896 eV per atom
energy: -410.40 eV/f.u.
magnetization: 0.16 μB per atom
DOS at the Fermi energy: 0.187 states/eV/atom

=====

Record 13
A PBEsol-optimized structure of Sm10Sb3Se7. Source: Alexandria via LeMat-Bulk, functional SCAN.

Geometry as POSCAR:
```
Sm10Sb3Se7
1.0
7.2799 -0.0180 0.0000
2.4295 6.8742 0.0000
-1.2148 -3.4371 10.4828
Sm Sb Se
10 3 7
direct
0.7420 0.2469 0.0000 Sm
0.7476 0.6521 0.7987 Sm
0.2580 0.7531 0.0000 Sm
0.7654 0.0497 0.6077 Sm
0.2524 0.1466 0.7987 Sm
0.7654 0.4420 0.3923 Sm
0.2346 0.5580 0.6077 Sm
0.7476 0.8534 0.2013 Sm
0.2346 0.9503 0.3923 Sm
0.2524 0.3479 0.2013 Sm
0.0000 0.5000 0.0000 Sb
0.5000 0.7961 0.5922 Sb
0.5000 0.2039 0.4078 Sb
0.0000 0.0962 0.1925 Se
0.5000 0.6000 0.2000 Se
0.5000 0.0000 0.0000 Se
0.5000 0.4000 0.8000 Se
0.0000 0.9038 0.8075 Se
0.0000 0.2999 0.5998 Se
0.0000 0.7001 0.4002 Se
```

Properties
formation energy without anion corrections: -1.812 eV per atom
energy: -732.99 eV/f.u.
magnetization: 0.00 μB per atom
DOS at the Fermi energy: 0.383 states/eV/atom

=====

Record 14
A PBEsol-optimized structure of HgPbBr2. Source: Alexandria via LeMat-Bulk, functional SCAN.

Geometry as POSCAR:
```
HgPbBr2
1.0
4.5988 0.0000 0.0000
0.0000 4.5988 0.0000
-2.2994 -2.2994 5.0666
Pb Hg Br
1 1 2
direct
0.2500 0.7500 0.5000 Pb
0.5000 0.5000 0.0000 Hg
0.0000 0.0000 0.0000 Br
0.7500 0.2500 0.5000 Br
```

Properties
excess energy over the best structure of this formula in the dataset: 236.0 meV/atom
formation energy without anion corrections: -0.405 eV per atom
energy: -184.48 eV/f.u.
magnetization: 0.00 μB per atom

=====

Record 15
A PBEsol-optimized structure of BaZn2Si. Source: Alexandria via LeMat-Bulk, functional SCAN.

Geometry as POSCAR:
```
BaZn2Si
1.0
4.3127 0.0000 0.0000
2.1563 4.8464 -0.0209
2.1563 0.9987 4.7424
Ba Si Zn
1 1 2
direct
0.5102 0.4898 0.4898 Ba
0.3314 0.1686 0.1686 Si
0.9808 0.0192 0.0192 Zn
0.6776 0.8224 0.8224 Zn
```

Properties
formation energy without anion corrections: 0.033 eV per atom
energy: -76.46 eV/f.u.
magnetization: 0.00 μB per atom
DOS at the Fermi energy: 0.627 states/eV/atom

=====

Record 16
A PBEsol-optimized structure of Mg5Ir. Source: Alexandria via LeMat-Bulk, functional SCAN.

Geometry as POSCAR:
```
Mg5Ir
1.0
-1.9609 0.9604 -2.3391
4.4434 -2.1666 -2.4259
-4.7276 -5.3097 1.7830
Mg Ir
5 1
direct
0.6166 0.2332 0.8036 Mg
0.3109 0.6217 0.6523 Mg
0.9723 0.9446 0.4446 Mg
0.6334 0.2668 0.2364 Mg
0.3280 0.6561 0.0855 Mg
0.9721 0.9443 0.9443 Ir
```

Properties
excess energy over the best structure of this formula in the dataset: 0.0 meV/atom
energy of formation: -0.24 eV per atom
energy: -97.40 eV/f.u.
magnetization: 0.00 μB per atom
DOS at the Fermi energy: 0.317 states/eV/atom

=====

Record 17
A PBEsol-optimized structure of KMn2Tl. Source: Alexandria via LeMat-Bulk, functional SCAN.

Geometry as POSCAR:
```
KMn2Tl
1.0
3.2085 0.0000 0.0000
0.0000 3.2085 0.0000
0.0000 0.0000 8.4286
K Mn Tl
1 2 1
direct
0.5000 0.5000 0.7655 K
0.0000 0.0000 0.0956 Mn
0.5000 0.5000 0.1998 Mn
0.0000 0.0000 0.4391 Tl
```

Properties
excess energy over the best structure of this formula in the dataset: 0.0 meV/atom
energy of formation: 0.14 eV per atom
energy: -116.62 eV/f.u.
magnetization: 0.11 μB per atom
DOS at the Fermi energy: 0.373 states/eV/atom

=====

Record 18
A PBEsol-optimized structure of CuIrAu. Source: Alexandria via LeMat-Bulk, functional SCAN.

Geometry as POSCAR:
```
CuIrAu
1.0
-0.8576 -1.2904 3.8931
-2.8601 -2.9962 0.6317
1.2020 -3.8124 1.2560
Au Cu Ir
1 1 1
direct
0.0000 0.0000 0.0000 Au
0.5000 0.5000 0.5000 Cu
0.2500 0.2500 0.2500 Ir
```

Properties
energy of formation: 0.79 eV per atom
energy: -153.10 eV/f.u.
magnetization: 0.30 μB per atom
DOS at the Fermi energy: 1.500 states/eV/atom

=====

Record 19
A PBEsol-optimized structure of SrTa2Pb. Source: Alexandria via LeMat-Bulk, functional SCAN.

Geometry as POSCAR:
```
SrTa2Pb
1.0
3.0239 -0.0121 0.0000
-0.2708 5.5281 0.0000
-1.3765 -2.7580 5.4001
Pb Sr Ta
1 1 2
direct
0.0000 0.5000 0.0000 Pb
0.5000 0.0000 0.0000 Sr
0.5000 0.5000 0.5000 Ta
0.0000 0.0000 0.5000 Ta
```

Properties
energy of formation: 0.84 eV per atom
energy: -227.87 eV/f.u.
magnetization: 0.00 μB per atom
DOS at the Fermi energy: 1.294 states/eV/atom

=====

Record 20
A PBEsol-optimized structure of KGaSi2. Source: Alexandria via LeMat-Bulk, functional SCAN.

Geometry as POSCAR:
```
KGaSi2
1.0
-2.8561 -3.9833 0.7038
1.7806 -2.0116 -4.1596
6.7888 -0.6962 6.1900
K Si Ga
2 4 2
direct
0.5000 0.5000 0.0000 K
0.7500 0.2500 0.5000 K
0.6250 0.8750 0.7500 Si
0.1250 0.8750 0.7500 Si
0.1250 0.8750 0.2500 Si
0.1250 0.3750 0.2500 Si
0.0000 0.0000 0.0000 Ga
0.2500 0.7500 0.5000 Ga
```

Properties
formation energy without anion corrections: 0.269 eV per atom
energy: -43.63 eV/f.u.
magnetization: 0.00 μB per atom
DOS at the Fermi energy: 0.376 states/eV/atom